Below is MgHgSe2 at its PBEsol-relaxed geometry, with properties calculated at the meta-GGA SCAN level.

Lattice parameters (Å, degrees): 10.3001 10.3001 10.3001 18.19 18.19 18.19
Atoms (fractional coordinates):
Mg (0.0000, 0.0000, 0.0000)
Hg (0.5000, 0.5000, 0.5000)
Se (0.2710, 0.2710, 0.2710)
Se (0.7290, 0.7290, 0.7290)

Uncorrected energy in eV/cell: -114.56
Crystal system: trigonal
Formation energy without anion corrections in eV/atom: -0.315
ΔE to the lowest computed polymorph in meV/atom: 490

Below is Mg2HgSe2 at its PBEsol-relaxed geometry, with properties calculated at the meta-GGA SCAN level.

Lattice parameters (Å, degrees): 7.0186 7.0186 7.0186 142.03 142.03 54.78
Atoms (fractional coordinates):
Mg (0.2500, 0.7500, 0.5000)
Mg (0.7500, 0.2500, 0.5000)
Hg (0.0000, 0.0000, 0.0000)
Se (0.3510, 0.3510, 0.0000)
Se (0.6490, 0.6490, 0.0000)

Uncorrected energy in eV/cell: -123.23
Crystal system: tetragonal
Formation energy without anion corrections in eV/atom: -0.992
ΔE to the lowest computed polymorph in meV/atom: 0

Below is MgHg2Se at its PBEsol-relaxed geometry, with properties calculated at the meta-GGA SCAN level.

Lattice parameters (Å, degrees): 5.0010 5.0010 4.1503 90.00 90.00 115.82
Atoms (fractional coordinates):
Mg (0.0000, 0.0000, 0.0000)
Hg (0.0000, 0.5000, 0.5000)
Hg (0.5000, 0.0000, 0.5000)
Se (0.5000, 0.5000, 0.0000)

Uncorrected energy in eV/cell: -162.42
Crystal system: orthorhombic
Formation energy without anion corrections in eV/atom: -0.259

Below is MgHg2Se at its PBEsol-relaxed geometry, with properties calculated at the meta-GGA SCAN level.

Lattice parameters (Å, degrees): 3.7126 3.6936 7.7186 90.00 102.76 90.00
Atoms (fractional coordinates):
Mg (0.0000, 0.0000, 0.0000)
Hg (0.1300, 0.5000, 0.4070)
Hg (0.7121, 0.0000, 0.6285)
Se (0.5173, 0.5000, 0.0445)

Uncorrected energy in eV/cell: -163.46
Crystal system: monoclinic
Formation energy without anion corrections in eV/atom: -0.519

Below is MgTlHg2Se at its PBEsol-relaxed geometry, with properties calculated at the meta-GGA SCAN level.

Lattice parameters (Å, degrees): 5.3752 5.3752 5.0200 90.00 90.00 90.00
Atoms (fractional coordinates):
Mg (0.0000, 0.0000, 0.0000)
Tl (0.5000, 0.5000, 0.5000)
Hg (0.0000, 0.5000, 0.0000)
Hg (0.5000, 0.0000, 0.0000)
Se (0.0000, 0.0000, 0.5000)

Uncorrected energy in eV/cell: -234.82
Crystal system: tetragonal
Formation energy without anion corrections in eV/atom: -0.215

Below is MgSiHg3 at its PBEsol-relaxed geometry, with properties calculated at the meta-GGA SCAN level.

Lattice parameters (Å, degrees): 5.0853 5.0853 5.0853 90.00 90.00 90.00
Atoms (fractional coordinates):
Mg (0.0000, 0.0000, 0.0000)
Si (0.5000, 0.5000, 0.5000)
Hg (0.0000, 0.5000, 0.5000)
Hg (0.5000, 0.0000, 0.5000)
Hg (0.5000, 0.5000, 0.0000)

Uncorrected energy in eV/cell: -218.08
Crystal system: cubic
Formation energy without anion corrections in eV/atom: 0.281

Below is MgSiHg2 at its PBEsol-relaxed geometry, with properties calculated at the meta-GGA SCAN level.

Lattice parameters (Å, degrees): 5.3395 5.3395 4.9095 94.09 94.09 35.16
Atoms (fractional coordinates):
Mg (0.0000, 0.0000, 0.0000)
Si (0.2587, 0.2587, 0.7588)
Hg (0.4930, 0.4930, 0.5057)
Hg (0.7431, 0.7431, 0.2450)

Uncorrected energy in eV/cell: -150.61
Crystal system: monoclinic
Formation energy without anion corrections in eV/atom: 0.177

Below is MgSi2Hg at its PBEsol-relaxed geometry, with properties calculated at the meta-GGA SCAN level.

Lattice parameters (Å, degrees): 2.7871 2.7871 9.7451 90.00 90.00 90.00
Atoms (fractional coordinates):
Mg (0.0000, 0.0000, 0.0000)
Si (0.5000, 0.5000, 0.2145)
Si (0.5000, 0.5000, 0.7855)
Hg (0.0000, 0.0000, 0.5000)

Uncorrected energy in eV/cell: -91.35
Crystal system: tetragonal
Formation energy without anion corrections in eV/atom: 0.455
ΔE to the lowest computed polymorph in meV/atom: 223